1.
Tb4BeSi3 after structural relaxation. Source: Alexandria, functional PBE.

Computed properties:
Uncorrected formation energy (meV/atom): -632
N(E_F) (states/eV/f.u.): 6.47

Lattice parameters (Å, degrees): 3.867 4.250 10.655 90.00 90.00 90.00
Space group Pmm2 (No. 25)
Asymmetric unit:
Tb (0.000, 0.000, 0.000)
Tb (0.000, 0.500, 0.497)
Tb (0.500, 0.000, 0.716)
Tb (0.500, 0.500, 0.217)
Be (0.000, 0.000, 0.300)
Si (0.000, 0.500, 0.782)
Si (0.500, 0.000, 0.422)
Si (0.500, 0.500, 0.928)

2.
Bi2P4Se after structural relaxation. Source: Alexandria, functional PBE.

Computed properties:
Uncorrected formation energy (meV/atom): 711
N(E_F) (states/eV/f.u.): 7.06

Lattice parameters (Å, degrees): 4.814 4.814 14.341 90.00 90.00 90.00
Space group I4/mmm (No. 139)
Asymmetric unit:
Bi (0.000, 0.000, 0.132)
P (0.000, 0.000, 0.327)
P (0.000, 0.500, 0.000)
Se (0.000, 0.000, 0.500)

3.
SrTa2Re after structural relaxation. Source: Alexandria, functional PBE.

Computed properties:
Relative energy among the computed polymorphs (meV/atom): 171
N(E_F) (states/eV/f.u.): 4.42
Formation enthalpy at 0 K (eV per atom): 0.6476

Lattice parameters (Å, degrees): 10.485 3.241 5.669 90.00 107.79 90.00
Space group C2/m (No. 12)
Asymmetric unit:
Sr (0.000, 0.000, 0.000)
Ta (0.203, 0.000, 0.654)
Re (0.000, 0.500, 0.500)

4.
ZnGaNO after structural relaxation. Source: Alexandria, functional PBE.

Computed properties:
Uncorrected formation energy (meV/atom): -882
Relative energy among the computed polymorphs (meV/atom): 16
N(E_F) (states/eV/f.u.): 0.25

Lattice parameters (Å, degrees): 6.5368 6.5368 10.5527 90.00 90.00 120.00
Space group P3m1 (No. 156)
Asymmetric unit:
Zn (0.0000, 0.0000, 0.0000)
Zn (0.0084, 0.5042, 0.4941)
Zn (0.1607, 0.3214, 0.7413)
Zn (0.6667, 0.3333, 0.2596)
Ga (0.0000, 0.0000, 0.4994)
Ga (0.1728, 0.3455, 0.2599)
Ga (0.5024, 0.0048, 0.0113)
Ga (0.6667, 0.3333, 0.7534)
N (0.0000, 0.0000, 0.6856)
N (0.0072, 0.5036, 0.1905)
N (0.1614, 0.3228, 0.4390)
N (0.6667, 0.3333, 0.9416)
O (0.0000, 0.0000, 0.1920)
O (0.1743, 0.3486, 0.9478)
O (0.5067, 0.0135, 0.7024)
O (0.6667, 0.3333, 0.4510)

5.
LaMnTc2 after structural relaxation. Source: Alexandria, functional PBE.

Computed properties:
Relative energy among the computed polymorphs (meV/atom): 242
N(E_F) (states/eV/f.u.): 3.57
Formation enthalpy at 0 K (eV per atom): 0.4572

Lattice parameters (Å, degrees): 6.531 6.531 6.531 90.00 90.00 90.00
Space group Fm-3m (No. 225)
Asymmetric unit:
La (0.000, 0.000, 0.000)
Mn (0.000, 0.000, 0.500)
Tc (0.250, 0.250, 0.250)

6.
BiPdF3 after structural relaxation. Source: Alexandria, functional PBE.

Computed properties:
Uncorrected formation energy (meV/atom): -918
Relative energy among the computed polymorphs (meV/atom): 403
N(E_F) (states/eV/f.u.): 9.90

Lattice parameters (Å, degrees): 4.345 4.345 4.345 90.00 90.00 90.00
Space group Pm-3m (No. 221)
Asymmetric unit:
Bi (0.000, 0.000, 0.000)
Pd (0.500, 0.500, 0.500)
F (0.000, 0.500, 0.500)

7.
DyScMn after structural relaxation. Source: Alexandria, functional PBE.

Computed properties:
Relative energy among the computed polymorphs (meV/atom): 0
N(E_F) (states/eV/f.u.): 4.01
Formation enthalpy at 0 K (eV per atom): 0.1201

Lattice parameters (Å, degrees): 6.267 11.875 7.380 90.00 90.00 90.00
Space group Cmce (No. 64)
Asymmetric unit:
Dy (0.000, 0.193, 0.105)
Sc (0.250, 0.048, 0.750)
Mn (0.000, 0.094, 0.451)

8.
MgSc2Ta after structural relaxation. Source: Alexandria, functional PBE.

Computed properties:
N(E_F) (states/eV/f.u.): 5.71
Formation enthalpy at 0 K (eV per atom): 0.1914

Lattice parameters (Å, degrees): 6.517 8.620 3.047 90.00 90.30 90.00
Space group C2/m (No. 12)
Asymmetric unit:
Mg (0.000, 0.000, 0.000)
Sc (0.250, 0.250, 0.500)
Ta (0.000, 0.500, 0.000)

9.
Li3Ac2Sn4Pb after structural relaxation. Source: Alexandria, functional PBE.

Computed properties:
N(E_F) (states/eV/f.u.): 5.98
Formation enthalpy at 0 K (eV per atom): -0.5057

Lattice parameters (Å, degrees): 4.671 4.671 12.315 90.00 90.00 90.00
Space group P-4m2 (No. 115)
Asymmetric unit:
Li (0.000, 0.000, 0.000)
Li (0.000, 0.500, 0.619)
Ac (0.000, 0.500, 0.274)
Sn (0.000, 0.000, 0.500)
Sn (0.000, 0.500, 0.834)
Sn (0.500, 0.500, 0.500)
Pb (0.500, 0.500, 0.000)

10.
Tm6ScIn5 after structural relaxation. Source: Alexandria, functional PBE.

Computed properties:
N(E_F) (states/eV/f.u.): 11.39
Formation enthalpy at 0 K (eV per atom): -0.3626

Lattice parameters (Å, degrees): 5.301 7.343 15.981 90.00 90.00 90.00
Space group Immm (No. 71)
Asymmetric unit:
Tm (0.000, 0.244, 0.000)
Tm (0.000, 0.253, 0.331)
Sc (0.000, 0.000, 0.500)
In (0.000, 0.000, 0.168)
In (0.000, 0.500, 0.155)
In (0.000, 0.500, 0.500)

11.
SrRhSCl2 after structural relaxation. Source: Alexandria, functional PBE.

Computed properties:
Uncorrected formation energy (meV/atom): -99
Relative energy among the computed polymorphs (meV/atom): 972
N(E_F) (states/eV/f.u.): 3.83

Lattice parameters (Å, degrees): 5.488 5.488 5.856 90.00 90.00 90.00
Space group P4/mmm (No. 123)
Asymmetric unit:
Sr (0.000, 0.000, 0.000)
Rh (0.500, 0.500, 0.500)
S (0.000, 0.000, 0.500)
Cl (0.000, 0.500, 0.000)

12.
Dy4TlCd3 after structural relaxation. Source: Alexandria, functional PBE.

Computed properties:
Relative energy among the computed polymorphs (meV/atom): 0
N(E_F) (states/eV/f.u.): 9.39
Formation enthalpy at 0 K (eV per atom): -0.3251

Lattice parameters (Å, degrees): 3.749 3.749 15.076 90.00 90.00 90.00
Space group P4/mmm (No. 123)
Asymmetric unit:
Dy (0.000, 0.000, 0.124)
Dy (0.000, 0.000, 0.370)
Tl (0.500, 0.500, 0.500)
Cd (0.500, 0.500, 0.000)
Cd (0.500, 0.500, 0.246)

13.
Ba2Pb2F after structural relaxation. Source: Alexandria, functional PBE.

Computed properties:
Uncorrected formation energy (meV/atom): -674
Relative energy among the computed polymorphs (meV/atom): 505
N(E_F) (states/eV/f.u.): 3.12

Lattice parameters (Å, degrees): 6.825 6.825 8.836 90.00 90.00 90.00
Space group I4/mmm (No. 139)
Asymmetric unit:
Ba (0.000, 0.500, 0.250)
Pb (0.000, 0.000, 0.167)
F (0.000, 0.000, 0.500)

14.
CeSmMgGe after structural relaxation. Source: Alexandria, functional PBE.

Computed properties:
N(E_F) (states/eV/f.u.): 8.56
Formation enthalpy at 0 K (eV per atom): -0.3054

Lattice parameters (Å, degrees): 7.411 7.411 7.411 90.00 90.00 90.00
Space group F-43m (No. 216)
Asymmetric unit:
Ce (0.000, 0.000, 0.000)
Sm (0.000, 0.000, 0.500)
Mg (0.250, 0.250, 0.250)
Ge (0.250, 0.250, 0.750)

15.
CsCdCu3 after structural relaxation. Source: Alexandria, functional PBE.

Computed properties:
Relative energy among the computed polymorphs (meV/atom): 0
N(E_F) (states/eV/f.u.): 1.40
Formation enthalpy at 0 K (eV per atom): 0.5663

Lattice parameters (Å, degrees): 5.146 5.146 5.146 90.00 90.00 90.00
Space group Pm-3m (No. 221)
Asymmetric unit:
Cs (0.000, 0.000, 0.000)
Cd (0.500, 0.500, 0.500)
Cu (0.000, 0.500, 0.500)

16.
Hf2ScZn3 after structural relaxation. Source: Alexandria, functional PBE.

Computed properties:
N(E_F) (states/eV/f.u.): 5.21
Formation enthalpy at 0 K (eV per atom): -0.2468

Lattice parameters (Å, degrees): 3.324 3.324 9.902 90.00 90.00 90.00
Space group P4/mmm (No. 123)
Asymmetric unit:
Hf (0.000, 0.000, 0.166)
Sc (0.000, 0.000, 0.500)
Zn (0.500, 0.500, 0.000)
Zn (0.500, 0.500, 0.332)

17.
ErZn2Ag after structural relaxation. Source: Alexandria, functional PBE.

Computed properties:
N(E_F) (states/eV/f.u.): 2.49
Formation enthalpy at 0 K (eV per atom): -0.1817

Lattice parameters (Å, degrees): 3.324 3.324 6.861 90.00 90.00 90.00
Space group P4/mmm (No. 123)
Asymmetric unit:
Er (0.000, 0.000, 0.000)
Zn (0.500, 0.500, 0.284)
Ag (0.000, 0.000, 0.500)

18.
Hf2Bi2Pd after structural relaxation. Source: Alexandria, functional PBE.

Computed properties:
Relative energy among the computed polymorphs (meV/atom): 74
N(E_F) (states/eV/f.u.): 1.99
Formation enthalpy at 0 K (eV per atom): 0.0437

Lattice parameters (Å, degrees): 7.754 7.754 3.927 90.00 90.00 90.00
Space group P4/mbm (No. 127)
Asymmetric unit:
Hf (0.142, 0.358, 0.000)
Bi (0.160, 0.660, 0.500)
Pd (0.000, 0.000, 0.500)

19.
CaTa2Se after structural relaxation. Source: Alexandria, functional PBE.

Computed properties:
Uncorrected formation energy (meV/atom): 449
N(E_F) (states/eV/f.u.): 3.70

Lattice parameters (Å, degrees): 4.800 4.800 6.931 90.00 90.00 90.00
Space group I-4m2 (No. 119)
Asymmetric unit:
Ca (0.000, 0.000, 0.000)
Ta (0.000, 0.000, 0.500)
Ta (0.000, 0.500, 0.250)
Se (0.000, 0.500, 0.750)

20.
PmZr2SnO8 after structural relaxation. Source: Alexandria, functional PBE.

Computed properties:
Uncorrected formation energy (meV/atom): -2661
N(E_F) (states/eV/f.u.): 5.93

Lattice parameters (Å, degrees): 7.002 7.187 6.759 90.00 90.00 90.00
Space group Cmmm (No. 65)
Asymmetric unit:
Pm (0.000, 0.000, 0.000)
Zr (0.000, 0.500, 0.248)
Sn (0.000, 0.000, 0.500)
O (0.000, 0.302, 0.500)
O (0.000, 0.321, 0.000)
O (0.203, 0.000, 0.277)